Record 1
Computed, not measured: PmPrPb2O8 after structural relaxation at the GGA-PBE level of DFT.

E   -6.4198 eV per atom
Space group   I-4 (82)

Cell: 5.713 5.713 6.791 Å, 114.88 114.88 90.00°
Last column: magnetic moment on the atom in μB.
Fractional coordinates of all 12 atoms:
1 Pm 0.750 0.250 0.500  -0.02
2 Pr 0.000 0.000 0.000  -0.01
3 Pb 0.500 0.500 0.000  -0.02
4 Pb 0.250 0.750 0.500  -0.02
5 O 0.797 0.851 0.195  0.22
6 O 0.399 0.344 0.195  0.22
7 O 0.597 0.641 0.691  0.22
8 O 0.094 0.050 0.691  0.22
9 O 0.950 0.403 0.309  0.22
10 O 0.359 0.906 0.309  0.22
11 O 0.149 0.601 0.805  0.22
12 O 0.656 0.203 0.805  0.22

***

Record 2
Computed, not measured: PmPtPbO4 after structural relaxation at the GGA-PBE level of DFT.

E   -6.4601 eV per atom
Space group   Imma (74)

Cell: 6.263 7.263 7.137 Å, 119.43 90.00 115.54°
Fractional coordinates of all 14 atoms:
1 Pm 0.500 0.000 0.500
2 Pm 0.500 0.000 0.000
3 Pt 0.500 0.500 0.500
4 Pt 0.000 0.500 0.500
5 Pb 0.833 0.665 0.083
6 Pb 0.167 0.335 0.917
7 O 0.721 0.441 0.647
8 O 0.227 0.916 0.208
9 O 0.689 0.916 0.208
10 O 0.721 0.441 0.294
11 O 0.279 0.559 0.706
12 O 0.773 0.084 0.792
13 O 0.311 0.084 0.792
14 O 0.279 0.559 0.353

***

Record 3
Computed, not measured: PmPtPb2O6 after structural relaxation at the GGA-PBE level of DFT.

E   -6.2298 eV per atom
Space group   P2_1/c (14)

Cell: 5.893 5.986 8.391 Å, 90.00 90.01 90.00°
Fractional coordinates of all 20 atoms:
1 Pm 0.500 0.000 0.000
2 Pm 0.000 0.500 0.500
3 Pt 0.500 0.000 0.500
4 Pt 0.000 0.500 0.000
5 Pb 0.008 0.962 0.248
6 Pb 0.508 0.538 0.748
7 Pb 0.992 0.038 0.752
8 Pb 0.492 0.462 0.252
9 O 0.275 0.688 0.050
10 O 0.775 0.812 0.550
11 O 0.725 0.312 0.950
12 O 0.225 0.188 0.450
13 O 0.320 0.720 0.454
14 O 0.820 0.780 0.954
15 O 0.680 0.280 0.546
16 O 0.180 0.220 0.046
17 O 0.904 0.529 0.230
18 O 0.404 0.971 0.730
19 O 0.096 0.471 0.770
20 O 0.596 0.029 0.270